Entry 1:
Material: ZrMn2Be
Method: DFT, GGA-PBE
State: optimized geometry

Cell: 8.1274 3.0496 4.5154 Å, 90.00 103.46 90.00°
Space group C2/m (No. 12)
One atom of each set of equivalent atoms:
Zr 0.0000 0.0000 0.0000 (multiplicity 2)
Mn 0.2350 0.0000 0.6602 (multiplicity 4)
Be 0.0000 0.5000 0.5000 (multiplicity 2)

Summary:
- formation energy (meV per atom) = 98

---

Entry 2:
Material: Zr2Mn3Be
Method: DFT, GGA-PBE
State: optimized geometry

Cell: 8.3596 4.8409 4.9610 Å, 90.00 124.19 90.00°
Space group C2/m (No. 12)
One atom of each set of equivalent atoms:
Zr 0.1227 0.0000 0.3682 (multiplicity 4)
Mn 0.0000 0.5000 0.0000 (multiplicity 2)
Mn 0.2500 0.2500 0.0000 (multiplicity 4)
Be 0.0000 0.5000 0.5000 (multiplicity 2)

Summary:
- formation energy (meV per atom) = -193

---

Among the records above, which one has the highest formation energy? ZrMn2Be

---

Please write out number 1 again, unchanged.
Material: ZrMn2Be
Method: DFT, GGA-PBE
State: optimized geometry

Cell: 8.1274 3.0496 4.5154 Å, 90.00 103.46 90.00°
Space group C2/m (No. 12)
One atom of each set of equivalent atoms:
Zr 0.0000 0.0000 0.0000 (multiplicity 2)
Mn 0.2350 0.0000 0.6602 (multiplicity 4)
Be 0.0000 0.5000 0.5000 (multiplicity 2)

Summary:
- formation energy (meV per atom) = 98

---

Which of these has the highest formation energy? ZrMn2Be

---

What is the formation energy in the second record? -193 meV per atom